ThZnGeN (PBE, relaxed); DOS(E_F) = 0.602 states/eV per atom; V = 18.95 A^3/atom; crystal system = tetragonal; raw formation energy = -85 kJ/mol of atoms
1.0
4.1345 0.0000 0.0000
0.0000 4.1345 0.0000
0.0000 0.0000 8.8662
Th Zn Ge N
2 2 2 2
direct
0.2500 0.2500 0.1281
0.7500 0.7500 0.8719
0.2500 0.7500 0.5000
0.7500 0.2500 0.5000
0.2500 0.2500 0.6756
0.7500 0.7500 0.3244
0.2500 0.7500 0.0000
0.7500 0.2500 0.0000